Entry 1:
An optimized crystal structure of Tb2PrSc3. Source: the Alexandria database, functional PBE-GGA. Values from VASP.

Computed properties:
Energy of formation, eV per atom: 0.269
Fermi-level density of states, states/eV per atom: 2.209

The structure in Quantum ESPRESSO input format:
```
&SYSTEM
  ibrav = 0, nat = 12, ntyp = 3
/
ATOMIC_SPECIES
Sc 44.96 Sc.upf
Tb 158.93 Tb.upf
Pr 140.91 Pr.upf
ATOMIC_POSITIONS angstrom
Sc 1.487 4.731 2.454
Sc 0.000 2.156 2.454
Sc -1.487 4.731 2.454
Sc 1.867 1.078 6.793
Sc 4.840 1.078 6.793
Sc 3.354 3.653 6.793
Tb 3.354 1.936 3.854
Tb 0.000 0.000 0.000
Tb 0.000 3.872 5.393
Tb 0.000 0.000 4.623
Pr 3.354 1.936 0.482
Pr 0.000 3.872 8.765
CELL_PARAMETERS angstrom
6.707 0.000 0.000
-3.354 5.809 0.000
0.000 0.000 9.247
```

Entry 2:
An optimized crystal structure of Tb3Pr4Sc2. Source: the Alexandria database, functional PBE-GGA. Values from VASP.

Computed properties:
Energy of formation, eV per atom: 0.098
Fermi-level density of states, states/eV per atom: 1.813

The structure in Quantum ESPRESSO input format:
```
&SYSTEM
  ibrav = 0, nat = 9, ntyp = 3
/
ATOMIC_SPECIES
Pr 140.91 Pr.upf
Sc 44.96 Sc.upf
Tb 158.93 Tb.upf
ATOMIC_POSITIONS angstrom
Pr 1.786 1.031 11.350
Pr 1.786 1.031 5.428
Pr 0.000 0.000 14.529
Pr 0.000 0.000 20.508
Sc 1.786 1.031 23.278
Sc 1.786 1.031 2.131
Tb 0.000 0.000 25.948
Tb 1.786 1.031 17.483
Tb 0.000 0.000 8.344
CELL_PARAMETERS angstrom
3.573 0.000 0.000
-1.786 3.094 0.000
0.000 0.000 26.450
```

Entry 3:
An optimized crystal structure of Tb2PrSc2. Source: the Alexandria database, functional PBE-GGA. Values from VASP.

Computed properties:
Energy of formation, eV per atom: 0.129
Fermi-level density of states, states/eV per atom: 1.694

The structure in Quantum ESPRESSO input format:
```
&SYSTEM
  ibrav = 0, nat = 10, ntyp = 3
/
ATOMIC_SPECIES
Sc 44.96 Sc.upf
Tb 158.93 Tb.upf
Pr 140.91 Pr.upf
ATOMIC_POSITIONS angstrom
Sc -6.964 0.996 2.497
Sc -1.385 -0.795 -4.283
Sc -6.904 -2.253 1.727
Sc -1.325 -4.044 -5.053
Tb -4.481 0.757 -3.544
Tb -2.111 -3.092 -1.892
Tb -6.179 0.043 -0.664
Tb -3.808 -3.805 0.988
Pr -6.119 -3.270 -1.449
Pr -2.171 0.222 -1.107
CELL_PARAMETERS angstrom
-0.642 1.247 -5.315
0.122 -6.627 -1.570
-7.769 2.332 4.329
```

Entry 4:
An optimized crystal structure of Tb2Pr8Sc. Source: the Alexandria database, functional PBE-GGA. Values from VASP.

Computed properties:
Energy of formation, eV per atom: 0.168
Fermi-level density of states, states/eV per atom: 1.617

The structure in Quantum ESPRESSO input format:
```
&SYSTEM
  ibrav = 0, nat = 11, ntyp = 3
/
ATOMIC_SPECIES
Tb 158.93 Tb.upf
Pr 140.91 Pr.upf
Sc 44.96 Sc.upf
ATOMIC_POSITIONS angstrom
Tb 6.853 13.139 9.969
Tb 3.599 3.517 2.668
Pr 3.822 10.055 5.533
Pr 6.376 5.143 3.902
Pr 3.386 6.461 4.903
Pr 4.076 11.512 8.735
Pr 6.630 8.619 4.444
Pr 6.630 6.601 7.104
Pr 3.822 8.036 8.194
Pr 7.066 10.194 7.735
Sc 0.000 0.000 0.000
CELL_PARAMETERS angstrom
6.378 1.745 1.324
2.037 9.539 2.910
2.037 5.371 8.403
```

Excess energy over the best structure of this formula in the dataset for the records above, in order: 187, 5, 0, 57 meV/atom